No. 1
# Th2CdAu4 PBE optimized geometry
# V: 25.360 Å³ per atom
# ΔH_f (0 K): -0.50 eV/atom
data_Th2CdAu4
_chemical_formula_sum 'Th6 Cd3 Au12'
_cell_length_a 4.7993
_cell_length_b 4.7993
_cell_length_c 26.6985
_cell_angle_alpha 90.00
_cell_angle_beta 90.00
_cell_angle_gamma 120.00
_space_group_name_H-M_alt 'R -3 m'
_space_group_IT_number 166
_space_group_name_Hall '-R 3 2"'
loop_
_atom_site_label
_atom_site_fract_x
_atom_site_fract_y
_atom_site_fract_z
Th1 0.0000 0.0000 0.2488
Cd1 0.0000 0.0000 0.0000
Au1 0.0000 0.0000 0.1346
Au2 0.0000 0.0000 0.3682


No. 2
# MgP2N2 PBE optimized geometry
# ΔE to the lowest computed polymorph: 0 meV/atom
# V: 12.213 Å³ per atom
# E_form (uncorrected): 0.198 eV/atom
data_MgP2N2
_chemical_formula_sum 'Mg2 P4 N4'
_cell_length_a 6.0171
_cell_length_b 6.0171
_cell_length_c 3.3731
_cell_angle_alpha 90.00
_cell_angle_beta 90.00
_cell_angle_gamma 90.00
_space_group_name_H-M_alt 'P 4/m b m'
_space_group_IT_number 127
_space_group_name_Hall '-P 4 2ab'
loop_
_atom_site_label
_atom_site_fract_x
_atom_site_fract_y
_atom_site_fract_z
Mg1 0.0000 0.0000 0.0000
P1 0.1300 0.3700 0.5000
N1 0.1907 0.3093 0.0000


No. 3
# CdAg2Br PBE optimized geometry
# ΔE to the lowest computed polymorph: 252 meV/atom
# V: 22.702 Å³ per atom
# E_form (uncorrected): 0.185 eV/atom
data_CdAg2Br
_chemical_formula_sum 'Cd4 Ag8 Br4'
_cell_length_a 7.1350
_cell_length_b 7.1350
_cell_length_c 7.1350
_cell_angle_alpha 90.00
_cell_angle_beta 90.00
_cell_angle_gamma 90.00
_space_group_name_H-M_alt 'F m -3 m'
_space_group_IT_number 225
_space_group_name_Hall '-F 4 2 3'
loop_
_atom_site_label
_atom_site_fract_x
_atom_site_fract_y
_atom_site_fract_z
Cd1 0.0000 0.0000 0.0000
Ag1 0.2500 0.2500 0.2500
Br1 0.0000 0.0000 0.5000


No. 4
# Mn3MoSe PBE optimized geometry
# V: 20.283 Å³ per atom
# E_form (uncorrected): 1.252 eV/atom
data_Mn3MoSe
_chemical_formula_sum 'Mn3 Mo1 Se1'
_cell_length_a 4.6634
_cell_length_b 4.6634
_cell_length_c 4.6634
_cell_angle_alpha 90.00
_cell_angle_beta 90.00
_cell_angle_gamma 90.00
_space_group_name_H-M_alt 'P m -3 m'
_space_group_IT_number 221
_space_group_name_Hall '-P 4 2 3'
loop_
_atom_site_label
_atom_site_fract_x
_atom_site_fract_y
_atom_site_fract_z
Mn1 0.0000 0.0000 0.5000
Mo1 0.0000 0.0000 0.0000
Se1 0.5000 0.5000 0.5000


No. 5
# Pr2GeO PBE optimized geometry
# ΔE to the lowest computed polymorph: 49 meV/atom
# V: 22.321 Å³ per atom
# E_form (uncorrected): -1.607 eV/atom
data_Pr2GeO
_chemical_formula_sum 'Pr6 Ge3 O3'
_cell_length_a 3.9403
_cell_length_b 3.9403
_cell_length_c 19.9207
_cell_angle_alpha 90.00
_cell_angle_beta 90.00
_cell_angle_gamma 120.00
_space_group_name_H-M_alt 'R -3 m'
_space_group_IT_number 166
_space_group_name_Hall '-R 3 2"'
loop_
_atom_site_label
_atom_site_fract_x
_atom_site_fract_y
_atom_site_fract_z
Pr1 0.0000 0.0000 0.2378
Ge1 0.0000 0.0000 0.0000
O1 0.0000 0.0000 0.5000


No. 6
# Ac8In2Sn PBE optimized geometry
# V: 40.173 Å³ per atom
# ΔH_f (0 K): -0.25 eV/atom
data_Ac8In2Sn
_chemical_formula_sum 'Ac16 In4 Sn2'
_cell_length_a 21.0101
_cell_length_b 5.6704
_cell_length_c 7.6140
_cell_angle_alpha 90.00
_cell_angle_beta 103.01
_cell_angle_gamma 90.00
_space_group_name_H-M_alt 'C 1 2/m 1'
_space_group_IT_number 12
_space_group_name_Hall '-C 2y'
loop_
_atom_site_label
_atom_site_fract_x
_atom_site_fract_y
_atom_site_fract_z
Ac1 0.0218 0.0000 0.2691
Ac2 0.0926 0.5000 0.9596
Ac3 0.1587 0.5000 0.4772
Ac4 0.2096 0.0000 0.8145
In1 0.1849 0.0000 0.2458
Sn1 0.0000 0.5000 0.5000


No. 7
# RbCdFe2Os PBE optimized geometry
# V: 24.896 Å³ per atom
# ΔH_f (0 K): 1.02 eV/atom
data_RbCdFe2Os
_chemical_formula_sum 'Rb1 Cd1 Fe2 Os1'
_cell_length_a 4.8106
_cell_length_b 4.8106
_cell_length_c 5.3790
_cell_angle_alpha 90.00
_cell_angle_beta 90.00
_cell_angle_gamma 90.00
_space_group_name_H-M_alt 'P 4/m m m'
_space_group_IT_number 123
_space_group_name_Hall '-P 4 2'
loop_
_atom_site_label
_atom_site_fract_x
_atom_site_fract_y
_atom_site_fract_z
Rb1 0.0000 0.0000 0.0000
Cd1 0.5000 0.5000 0.0000
Fe1 0.0000 0.5000 0.5000
Os1 0.5000 0.5000 0.5000


No. 8
# SbWAu2 PBE optimized geometry
# V: 19.012 Å³ per atom
# E_form (uncorrected): 0.498 eV/atom
data_SbWAu2
_chemical_formula_sum 'Sb1 W1 Au2'
_cell_length_a 2.8788
_cell_length_b 4.9571
_cell_length_c 5.3289
_cell_angle_alpha 90.00
_cell_angle_beta 90.00
_cell_angle_gamma 90.00
_space_group_name_H-M_alt 'P m m 2'
_space_group_IT_number 25
_space_group_name_Hall 'P 2 -2'
loop_
_atom_site_label
_atom_site_fract_x
_atom_site_fract_y
_atom_site_fract_z
Sb1 0.0000 0.0000 0.0000
W1 0.0000 0.5000 0.7252
Au1 0.5000 0.0000 0.5298
Au2 0.5000 0.5000 0.2470


DOS at the Fermi energy (states/eV/f.u.)
4.7, 0.8, 1.3, 5.4, 1.7, 11.8, 8.4, 3.2